This record from Alexandria via LeMat-Bulk describes a crystal of SiSnGe2 relaxed with PBEsol. The functional is SCAN.

Spin magnetization in μB per formula unit: 0.00
E in eV per atom: -20.974
Density in kg/m³: 4961

```
SiSnGe2
1.0
-3.975 -3.534 -2.360
3.473 -4.564 0.984
-2.179 3.319 5.875
Si Ge Sn
2 4 2
Direct
0.750 0.250 0.500
0.500 0.500 0.000
0.409 0.875 0.250
0.125 0.159 0.750
0.625 0.591 0.750
0.841 0.375 0.250
0.000 0.000 0.000
0.250 0.750 0.500
```